Entry from Alexandria: a relaxed Ba2SrNbPb crystal (PBE).

POSCAR file:
```
Ba2SrNbPb
1.0
6.510 0.000 0.000
0.000 6.510 0.000
0.000 0.000 5.252
Ba Sr Nb Pb
2 1 1 1
Direct
0.000 0.500 0.000
0.500 0.000 0.000
0.000 0.000 0.000
0.000 0.000 0.500
0.500 0.500 0.500
```

Computed properties:
**Calculated formation energy**: 1.2087 eV/atom
**V**: 44.5 Å³/atom
**M_tot**: 2.1 μB/cell